A geometry-optimized Pu2NpPaSe4 structure. Source: Alexandria, functional GGA-PBE.

```
8
Lattice="4.0933 0.0000 0.0000 0.0000 7.1668 -0.1508 0.0000 2.5160 6.6225" Properties=species:S:1:pos:R:3 pbc="T T T"
Pu 0.0000 2.5160 6.6225
Pu 2.0467 1.2580 3.3112
Np 2.0467 3.5834 -0.0754
Pa 0.0000 4.8414 3.2359
Se 0.0001 7.2453 4.8515
Se 4.0934 2.4375 1.6202
Se 2.0467 6.0033 1.5478
Se 2.0467 3.6795 4.9239
```

Computed properties:
space group = No. 10
size of the total moment = 4.82 μB per formula unit
final energy = -75.5 eV/f.u.